[1]
RbH2Rh2: relaxed, PBE.

The structure belongs to space group I4/mmm (No. 139); the cell edges are 3.711, 3.711 and 11.971 Å and the angles 90.00°, 90.00° and 90.00°. The inequivalent atoms are Rb at (0.000, 0.000, 0.000), H at (0.000, 0.500, 0.250) and Rh at (0.000, 0.000, 0.276).

As for the raw total energy: -4.339 eV/atom. The crystal system is tetragonal.


[2]
Cs4Pm3PrTe8: relaxed, PBE.

The structure belongs to space group R-3m (No. 166, hexagonal axes); the cell edges are 9.3300, 9.3300 and 26.8395 Å and the angles 90.00°, 90.00° and 120.00°. The inequivalent atoms are Cs at (0.0000, 0.0000, 0.0000), Cs at (0.0000, 0.5000, 0.0000), Pm at (0.0000, 0.5000, 0.5000), Pr at (0.0000, 0.0000, 0.5000), Te at (0.0000, 0.0000, 0.2312) and Te at (0.0029, 0.5015, 0.7684).

As for the raw total energy: -4.387 eV/atom. The crystal system is trigonal. For the raw formation energy, the calculation gives -1.414 eV per atom.


[3]
YHo4Ga4: relaxed, PBE.

The structure belongs to space group P4_2/n (No. 86, origin choice 2); the cell edges are 9.025, 9.025 and 5.930 Å and the angles 90.00°, 90.00° and 90.00°. The inequivalent atoms are Y at (0.250, 0.250, 0.250), Ho at (0.069, 0.658, 0.130) and Ga at (0.024, 0.618, 0.619).

As for the raw total energy: -4.464 eV/atom. The value obtained for the formation energy is -0.37 eV per atom. The crystal system is tetragonal.


The highest raw total energy belongs to which entry? RbH2Rh2